# NdPu5Se8 PBE relaxed
# Calculated total energy   -9.03 eV/atom
# N(E_F)   95.52 states/eV/cell
# Density   9.73 g cm⁻³
data_NdPu5Se8
_symmetry_space_group_name_H-M 'I -4'
_symmetry_Int_Tables_number 82
_cell_length_a 8.802
_cell_length_b 8.802
_cell_length_c 8.793
_cell_angle_alpha 90.00
_cell_angle_beta 90.00
_cell_angle_gamma 90.00
loop_
_symmetry_equiv_pos_as_xyz
'x,y,z'
'y,-x,-z'
'-x,-y,z'
'-y,x,-z'
'x+1/2,y+1/2,z+1/2'
'y+1/2,-x+1/2,-z+1/2'
'-x+1/2,-y+1/2,z+1/2'
'-y+1/2,x+1/2,-z+1/2'
loop_
_atom_site_label
_atom_site_fract_x
_atom_site_fract_y
_atom_site_fract_z
Nd1 0.000 0.000 0.000
Pu1 0.000 0.500 0.750
Pu2 0.126 0.250 0.375
Se1 0.075 0.327 0.052
Se2 0.076 0.175 0.699

---

# K3Pu3RhSe8 PBE relaxed
# Calculated total energy   -6.61 eV/atom
# N(E_F)   61.73 states/eV/cell
# Density   5.73 g cm⁻³
data_K3Pu3RhSe8
_symmetry_space_group_name_H-M 'C 1 2/m 1'
_symmetry_Int_Tables_number 12
_cell_length_a 14.253
_cell_length_b 8.216
_cell_length_c 9.160
_cell_angle_alpha 90.00
_cell_angle_beta 121.15
_cell_angle_gamma 90.00
loop_
_symmetry_equiv_pos_as_xyz
'x,y,z'
'-x,-y,-z'
'-x,y,-z'
'x,-y,z'
'x+1/2,y+1/2,z'
'-x+1/2,-y+1/2,-z'
'-x+1/2,y+1/2,-z'
'x+1/2,-y+1/2,z'
loop_
_atom_site_label
_atom_site_fract_x
_atom_site_fract_y
_atom_site_fract_z
K1 0.000 0.000 0.000
K2 0.250 0.250 0.000
Pu1 0.000 0.500 0.500
Pu2 0.250 0.250 0.500
Rh1 0.000 0.000 0.500
Se1 0.013 0.227 0.312
Se2 0.214 0.000 0.687
Se3 0.237 0.500 0.708